Record 1
DFT (PBE) results for crystalline U2Ni3As4 at its relaxed geometry.

Unit cell a=5.369 b=9.732 c=11.707 alpha=90.00 beta=90.00 gamma=90.00
Space group Fmmm (No. 69)
One atom of each set of equivalent atoms:
U  0.000  0.000  0.137 x8
Ni  0.000  0.000  0.500 x4
Ni  0.250  0.250  0.000 x8
As  0.000  0.159  0.347 x16

## Properties
Formation energy   -376 meV per atom
Volume   611.74 Å³/cell
Final energy   -6.878 eV per atom
Excess energy over the best structure of this formula in the dataset   150 meV/atom
Fermi-level density of states   1.586 states/eV per atom

---

Record 2
DFT (PBE) results for crystalline K3In2As4 at its relaxed geometry.

Unit cell a=18.020 b=4.365 c=7.830 alpha=90.00 beta=114.99 gamma=90.00
Space group C2/m (No. 12)
One atom of each set of equivalent atoms:
K  0.000  0.000  0.000 x2
K  0.149  0.000  0.760 x4
In  0.167  0.500  0.401 x4
As  0.007  0.500  0.355 x4
As  0.205  0.000  0.242 x4

## Properties
Formation energy   -399 meV per atom
Volume   558.22 Å³/cell
Final energy   -3.440 eV per atom
Fermi-level density of states   0.204 states/eV per atom

---

Record 3
DFT (PBE) results for crystalline Ho6Co2Pb at its relaxed geometry.

Unit cell a=9.488 b=9.627 c=9.926 alpha=90.00 beta=90.00 gamma=90.00
Space group Immm (No. 71)
One atom of each set of equivalent atoms:
Ho  0.000  0.216  0.231 x8
Ho  0.195  0.500  0.184 x8
Ho  0.213  0.315  0.500 x8
Co  0.000  0.380  0.000 x4
Co  0.000  0.500  0.388 x4
Pb  0.000  0.000  0.000 x2
Pb  0.000  0.000  0.500 x2

## Properties
Formation energy   -289 meV per atom
Volume   906.69 Å³/cell
Final energy   -5.332 eV per atom
Fermi-level density of states   0.577 states/eV per atom

---

Record 4
DFT (PBE) results for crystalline Ba3CdSe at its relaxed geometry.

Unit cell a=6.305 b=6.305 c=6.305 alpha=90.00 beta=90.00 gamma=90.00
Space group Pm-3m (No. 221)
One atom of each set of equivalent atoms:
Ba  0.000  0.000  0.500 x3
Cd  0.500  0.500  0.500 x1
Se  0.000  0.000  0.000 x1

## Properties
Volume   250.61 Å³/cell
Final energy   -2.740 eV per atom
Excess energy over the best structure of this formula in the dataset   0 meV/atom
Uncorrected formation energy   -0.707 eV/atom
Fermi-level density of states   1.041 states/eV per atom

---

Record 5
DFT (PBE) results for crystalline CeHoCl at its relaxed geometry.

Unit cell a=3.5642 b=3.5642 c=7.3745 alpha=90.00 beta=90.00 gamma=120.00
Space group P3m1 (No. 156)
One atom of each set of equivalent atoms:
Ce  0.0000  0.0000  0.0000 x1
Ho  0.6667  0.3333  0.3829 x1
Cl  0.3333  0.6667  0.6631 x1

## Properties
Volume   81.13 Å³/cell
Final energy   -4.932 eV per atom
Uncorrected formation energy   -0.813 eV/atom
Fermi-level density of states   2.181 states/eV per atom

---

Record 6
DFT (PBE) results for crystalline AcHoAlCu at its relaxed geometry.

Unit cell a=7.475 b=7.475 c=7.475 alpha=90.00 beta=90.00 gamma=90.00
Space group F-43m (No. 216)
One atom of each set of equivalent atoms:
Ac  0.000  0.000  0.000 x4
Ho  0.000  0.000  0.500 x4
Al  0.250  0.250  0.250 x4
Cu  0.250  0.250  0.750 x4

## Properties
Formation energy   -147 meV per atom
Volume   417.70 Å³/cell
Final energy   -4.278 eV per atom
Fermi-level density of states   0.970 states/eV per atom

---

Record 7
DFT (PBE) results for crystalline ScAlCdIr2 at its relaxed geometry.

Unit cell a=4.736 b=4.736 c=5.001 alpha=90.00 beta=90.00 gamma=90.00
Space group P4/mmm (No. 123)
One atom of each set of equivalent atoms:
Sc  0.000  0.000  0.000 x1
Al  0.000  0.000  0.500 x1
Cd  0.500  0.500  0.500 x1
Ir  0.000  0.500  0.000 x2

## Properties
Formation energy   1029 meV per atom
Volume   112.17 Å³/cell
Final energy   -4.713 eV per atom
Fermi-level density of states   0.616 states/eV per atom

---

Record 8
DFT (PBE) results for crystalline BaSr2Sb at its relaxed geometry.

Unit cell a=4.514 b=4.514 c=8.665 alpha=90.00 beta=90.00 gamma=90.00
Space group P4mm (No. 99)
One atom of each set of equivalent atoms:
Ba  0.000  0.000  0.000 x1
Sr  0.000  0.000  0.390 x1
Sr  0.500  0.500  0.667 x1
Sb  0.500  0.500  0.223 x1

## Properties
Volume   176.56 Å³/cell
Final energy   -2.855 eV per atom
Uncorrected formation energy   -0.503 eV/atom
Fermi-level density of states   0.736 states/eV per atom

---

Record 9
DFT (PBE) results for crystalline LuMgSn2 at its relaxed geometry.

Unit cell a=7.377 b=7.377 c=7.377 alpha=90.00 beta=90.00 gamma=90.00
Space group Fm-3m (No. 225)
One atom of each set of equivalent atoms:
Lu  0.000  0.000  0.000 x4
Mg  0.000  0.000  0.500 x4
Sn  0.250  0.250  0.250 x8

## Properties
Formation energy   -275 meV per atom
Volume   401.50 Å³/cell
Final energy   -3.805 eV per atom
Fermi-level density of states   0.319 states/eV per atom

---

Record 10
DFT (PBE) results for crystalline IrC2 at its relaxed geometry.

Unit cell a=4.296 b=4.989 c=2.744 alpha=90.00 beta=90.00 gamma=90.00
Space group Pnnm (No. 58)
One atom of each set of equivalent atoms:
Ir  0.000  0.000  0.000 x2
C  0.133  0.419  0.000 x4

## Properties
Formation energy   938 meV per atom
Volume   58.83 Å³/cell
Final energy   -8.165 eV per atom
Excess energy over the best structure of this formula in the dataset   348 meV/atom
Fermi-level density of states   0.443 states/eV per atom

---

Record 11
DFT (PBE) results for crystalline Cd3SiPb at its relaxed geometry.

Unit cell a=5.656 b=5.656 c=5.656 alpha=90.00 beta=90.00 gamma=90.00
Space group Pm-3m (No. 221)
One atom of each set of equivalent atoms:
Cd  0.000  0.000  0.500 x3
Si  0.500  0.500  0.500 x1
Pb  0.000  0.000  0.000 x1

## Properties
Volume   180.94 Å³/cell
Final energy   -1.428 eV per atom
Excess energy over the best structure of this formula in the dataset   555 meV/atom
Uncorrected formation energy   0.948 eV/atom
Fermi-level density of states   1.280 states/eV per atom

---

Record 12
DFT (PBE) results for crystalline AlSiPN4 at its relaxed geometry.

Unit cell a=4.521 b=4.915 c=8.005 alpha=81.97 beta=80.70 gamma=72.20
Space group P1 (No. 1)
One atom of each set of equivalent atoms:
Al  0.000  0.000  0.000 x1
Al  0.095  0.816  0.658 x1
Si  0.440  0.866  0.270 x1
Si  0.675  0.384  0.691 x1
P  0.154  0.496  0.145 x1
P  0.311  0.339  0.495 x1
N  0.188  0.158  0.142 x1
N  0.318  0.006  0.469 x1
N  0.328  0.650  0.977 x1
N  0.359  0.580  0.806 x1
N  0.363  0.519  0.299 x1
N  0.819  0.764  0.171 x1
N  0.850  0.076  0.797 x1
N  0.960  0.534  0.575 x1

## Properties
Volume   166.36 Å³/cell
Final energy   -7.364 eV per atom
Excess energy over the best structure of this formula in the dataset   256 meV/atom
Uncorrected formation energy   -0.525 eV/atom
Fermi-level density of states   0.000 states/eV per atom

---

The highest final energy belongs to which entry?
Cd3SiPb

---

Which formula does entry 9 have?
LuMgSn2

---

Among the records above, which one has the lowest final energy?
IrC2